Entry one
Computed, not measured: a relaxed TaVPt2 crystal at the PBE level of DFT.

It has space group Fm-3m (No. 225), with a = 6.3912 Å, b = 6.3912 Å, c = 6.3912 Å, α = 90.00°, β = 90.00° and γ = 90.00°. Symmetry generates all atoms from Ta at (0.0000, 0.0000, 0.0000), V at (0.0000, 0.0000, 0.5000) and Pt at (0.2500, 0.2500, 0.2500).

Entry two
Computed, not measured: a relaxed TaVPt2 crystal at the PBE level of DFT.

It has space group P4/mmm (No. 123), with a = 3.4277 Å, b = 3.4277 Å, c = 5.4421 Å, α = 90.00°, β = 90.00° and γ = 90.00°. Symmetry generates all atoms from Ta at (0.0000, 0.0000, 0.0000), V at (0.0000, 0.0000, 0.5000) and Pt at (0.5000, 0.5000, 0.2542).

Stability check: which of them is most stable? entry two.